# Ca2CrOsO6 | Alexandria | PBE+U | optimized geometry
data_Ca2CrOsO6
_chemical_formula_sum 'Ca4 Cr2 Os2 O12'
_cell_length_a 5.413
_cell_length_b 5.551
_cell_length_c 7.726
_cell_angle_alpha 90.00
_cell_angle_beta 89.94
_cell_angle_gamma 90.00
_space_group_name_H-M_alt 'P 1'
_space_group_IT_number 1
loop_
_space_group_symop_operation_xyz
'x,y,z'
loop_
_atom_site_label
_atom_site_type_symbol
_atom_site_fract_x
_atom_site_fract_y
_atom_site_fract_z
_atom_site_occupancy
O1 O 0.200 0.207 0.047 1
O2 O 0.300 0.707 0.453 1
O3 O 0.296 0.703 0.045 1
O4 O 0.089 0.475 0.752 1
O5 O 0.704 0.297 0.955 1
O6 O 0.411 0.975 0.748 1
O7 O 0.911 0.525 0.248 1
O8 O 0.204 0.203 0.455 1
O9 O 0.800 0.793 0.953 1
O10 O 0.589 0.025 0.252 1
O11 O 0.700 0.293 0.547 1
O12 O 0.796 0.797 0.545 1
Ca1 Ca 0.988 0.052 0.749 1
Ca2 Ca 0.512 0.552 0.751 1
Ca3 Ca 0.488 0.448 0.249 1
Ca4 Ca 0.012 0.948 0.251 1
Cr1 Cr 0.500 0.000 0.000 1
Cr2 Cr 0.000 0.500 0.500 1
Os1 Os 0.000 0.500 0.000 1
Os2 Os 0.500 0.000 0.500 1
# Fermi-level density of states: 0.04 states/eV/atom
# Magnetic moment: 0.001 μB per atom
# E_tot: -147.0 eV for the cell shown